(a)
VASP calculation (PBE) on a geometry-optimized SrAs2W structure.

```
SrAs2W
1.0
0.0000 3.4213 3.4213
3.4213 0.0000 3.4213
3.4213 3.4213 0.0000
Sr As W
1 2 1
direct
0.0000 0.0000 0.0000 Sr
0.2500 0.2500 0.2500 As
0.7500 0.7500 0.7500 As
0.5000 0.5000 0.5000 W
```

Values from the calculation:
**Space group**: Fm-3m
**Calculated density**: 8.7 g/cm³

=====

(b)
VASP calculation (PBE) on a geometry-optimized SrAs2W structure.

```
SrAs2W
1.0
1.8966 -2.2904 0.0000
1.8966 2.2904 0.0000
0.0000 0.0000 10.6737
Sr As W
1 2 1
direct
0.0000 0.0000 0.0000 Sr
0.0000 0.0000 0.4265 As
0.5000 0.5000 0.7663 As
0.5000 0.5000 0.2560 W
```

Values from the calculation:
**Space group**: Cmm2
**Calculated density**: 7.5 g/cm³

=====

The winner here is (a), beating the second structure by 0.303 eV/atom.